1.
Entry from the Alexandria database: PmPr5Bi6 after structural relaxation (PBE).

M_tot   0.00 μB/cell
Final energy   -63.42 eV/f.u.

a b c (Å): 8.022 8.022 8.023
angles (deg): 99.61 99.61 120.00
Sites, in units of the cell vectors:
Pm1 0.000 0.000 0.000
Pr1 0.167 0.833 0.500
Pr2 0.334 0.666 0.000
Pr3 0.500 0.500 0.500
Pr4 0.666 0.334 0.000
Pr5 0.833 0.167 0.500
Bi1 0.083 0.414 0.249
Bi2 0.248 0.248 0.751
Bi3 0.414 0.083 0.249
Bi4 0.586 0.917 0.751
Bi5 0.752 0.752 0.249
Bi6 0.917 0.586 0.751

---

2.
Entry from the Alexandria database: Cs5Rb6Au after structural relaxation (PBE).

M_tot   0.00 μB/cell
Final energy   -13.64 eV/f.u.

a b c (Å): 12.617 12.617 8.711
angles (deg): 102.33 102.33 116.84
Sites, in units of the cell vectors:
Cs1 0.000 0.000 0.000
Cs2 0.146 0.854 0.500
Cs3 0.273 0.727 0.000
Cs4 0.727 0.273 0.000
Cs5 0.854 0.146 0.500
Rb1 0.201 0.444 0.299
Rb2 0.346 0.346 0.753
Rb3 0.444 0.201 0.299
Rb4 0.556 0.799 0.701
Rb5 0.654 0.654 0.247
Rb6 0.799 0.556 0.701
Au1 0.500 0.500 0.500

---

3.
Entry from the Alexandria database: BeP2CCl after structural relaxation (PBE).

M_tot   0.89 μB/cell
Energy above the most stable polymorph in this dataset   0.475 eV/atom
Energy relative to the elements, uncorrected   1709.5 meV per atom
Final energy   -17.07 eV/f.u.

a b c (Å): 4.304 4.304 4.210
angles (deg): 90.00 90.00 90.00
Sites, in units of the cell vectors:
Be1 0.000 0.000 0.000
P1 0.000 0.500 0.000
P2 0.500 0.000 0.000
C1 0.500 0.500 0.500
Cl1 0.000 0.000 0.500

---

4.
Entry from the Alexandria database: MgH3Ir3 after structural relaxation (PBE).

M_tot   0.00 μB/cell
Energy above the most stable polymorph in this dataset   0.003 eV/atom
Final energy   -38.42 eV/f.u.

a b c (Å): 4.156 4.156 3.873
angles (deg): 90.01 90.01 90.15
Sites, in units of the cell vectors:
Mg1 0.000 0.000 0.000
H1 0.426 0.426 0.500
H2 0.499 0.934 0.996
H3 0.934 0.499 0.996
Ir1 0.493 0.493 0.000
Ir2 0.501 0.990 0.499
Ir3 0.990 0.501 0.499

---

5.
Entry from the Alexandria database: Cd5In2Hg3Bi2 after structural relaxation (PBE).

M_tot   0.00 μB/cell
Final energy   -17.41 eV/f.u.

a b c (Å): 13.366 13.366 13.366
angles (deg): 156.56 156.56 33.39
Sites, in units of the cell vectors:
Cd1 0.000 0.000 0.000
Cd2 0.182 0.682 0.500
Cd3 0.318 0.818 0.500
Cd4 0.682 0.182 0.500
Cd5 0.818 0.318 0.500
In1 0.253 0.253 0.000
In2 0.747 0.747 0.000
Hg1 0.386 0.386 0.000
Hg2 0.500 0.500 0.000
Hg3 0.614 0.614 0.000
Bi1 0.123 0.123 0.000
Bi2 0.877 0.877 0.000

---

6.
Entry from the Alexandria database: BeCrRe after structural relaxation (PBE).

M_tot   0.00 μB/cell
Energy above the most stable polymorph in this dataset   0.000 eV/atom
Final energy   -26.26 eV/f.u.

a b c (Å): 5.511 4.516 4.486
angles (deg): 75.49 52.50 52.01
Sites, in units of the cell vectors:
Be1 0.250 0.250 0.250
Be2 0.750 0.750 0.750
Cr1 0.164 0.836 0.164
Cr2 0.836 0.164 0.836
Re1 0.339 0.339 0.661
Re2 0.661 0.661 0.339

---

7.
Entry from the Alexandria database: Sr2AsI2 after structural relaxation (PBE).

M_tot   0.00 μB/cell
Energy relative to the elements, uncorrected   -799.8 meV per atom
Final energy   -15.11 eV/f.u.

a b c (Å): 9.422 9.422 3.970
angles (deg): 90.00 90.00 90.00
Sites, in units of the cell vectors:
Sr1 0.178 0.322 0.000
Sr2 0.322 0.822 0.000
Sr3 0.678 0.178 0.000
Sr4 0.822 0.678 0.000
As1 0.000 0.000 0.500
As2 0.500 0.500 0.500
I1 0.128 0.628 0.500
I2 0.372 0.128 0.500
I3 0.628 0.872 0.500
I4 0.872 0.372 0.500

---

8.
Entry from the Alexandria database: BaMg14Co after structural relaxation (PBE).

M_tot   0.53 μB/cell
Energy above the most stable polymorph in this dataset   0.000 eV/atom
Final energy   -29.41 eV/f.u.

a b c (Å): 10.538 6.617 6.617
angles (deg): 56.08 90.00 90.00
Sites, in units of the cell vectors:
Ba1 0.000 0.000 0.000
Mg1 0.000 0.012 0.494
Mg2 0.000 0.494 0.012
Mg3 0.203 0.610 0.610
Mg4 0.254 0.134 0.621
Mg5 0.254 0.621 0.134
Mg6 0.275 0.137 0.137
Mg7 0.500 0.474 0.474
Mg8 0.500 0.479 0.966
Mg9 0.500 0.966 0.479
Mg10 0.500 0.966 0.966
Mg11 0.725 0.137 0.137
Mg12 0.746 0.134 0.621
Mg13 0.746 0.621 0.134
Mg14 0.797 0.610 0.610
Co1 0.000 0.442 0.442

---

9.
Entry from the Alexandria database: SrCoHCl2 after structural relaxation (PBE).

M_tot   2.72 μB/cell
Final energy   -16.62 eV/f.u.

a b c (Å): 5.650 5.650 4.394
angles (deg): 90.00 90.00 90.00
Sites, in units of the cell vectors:
Sr1 0.000 0.000 0.000
Co1 0.500 0.500 0.500
H1 0.000 0.000 0.500
Cl1 0.000 0.500 0.000
Cl2 0.500 0.000 0.000

---

10.
Entry from the Alexandria database: K3Ac2NpO6 after structural relaxation (PBE).

M_tot   3.97 μB/cell
Energy relative to the elements, uncorrected   -2420.2 meV per atom
Final energy   -83.24 eV/f.u.

a b c (Å): 6.543 6.543 6.726
angles (deg): 99.20 99.20 120.07
Sites, in units of the cell vectors:
K1 0.000 0.000 0.000
K2 0.341 0.659 0.000
K3 0.659 0.341 0.000
Ac1 0.167 0.833 0.500
Ac2 0.833 0.167 0.500
Np1 0.500 0.500 0.500
O1 0.126 0.437 0.310
O2 0.250 0.250 0.690
O3 0.437 0.126 0.310
O4 0.563 0.874 0.690
O5 0.750 0.750 0.310
O6 0.874 0.563 0.690

---

11.
Entry from the Alexandria database: TmTeCl after structural relaxation (PBE).

M_tot   0.00 μB/cell
Energy relative to the elements, uncorrected   -1666.1 meV per atom
Final energy   -14.46 eV/f.u.

a b c (Å): 4.168 4.168 6.983
angles (deg): 90.00 90.00 120.00
Sites, in units of the cell vectors:
Tm1 0.000 0.000 0.000
Te1 0.333 0.667 0.757
Cl1 0.667 0.333 0.212

---

12.
Entry from the Alexandria database: Mn2AsSe after structural relaxation (PBE).

M_tot   5.63 μB/cell
Energy relative to the elements, uncorrected   -70.9 meV per atom
Final energy   -26.76 eV/f.u.

a b c (Å): 4.079 4.986 4.986
angles (deg): 38.38 90.00 90.00
Sites, in units of the cell vectors:
Mn1 0.000 0.000 0.000
Mn2 0.500 0.170 0.170
As1 0.000 0.715 0.715
Se1 0.500 0.446 0.446

---

13.
Entry from the Alexandria database: LaBeCo2 after structural relaxation (PBE).

M_tot   2.70 μB/cell
Final energy   -22.19 eV/f.u.

a b c (Å): 2.974 2.974 6.821
angles (deg): 90.00 90.00 90.00
Sites, in units of the cell vectors:
La1 0.000 0.000 0.000
Be1 0.500 0.500 0.344
Co1 0.000 0.000 0.493
Co2 0.500 0.500 0.673

---

14.
Entry from the Alexandria database: AlBi2I after structural relaxation (PBE).

M_tot   0.00 μB/cell
Energy above the most stable polymorph in this dataset   0.019 eV/atom
Energy relative to the elements, uncorrected   342.3 meV per atom
Final energy   -11.69 eV/f.u.

a b c (Å): 5.493 5.493 5.493
angles (deg): 60.00 60.00 60.00
Sites, in units of the cell vectors:
Al1 0.000 0.000 0.000
Bi1 0.250 0.250 0.250
Bi2 0.750 0.750 0.750
I1 0.500 0.500 0.500

---

15.
Entry from the Alexandria database: Mg2VRh3 after structural relaxation (PBE).

M_tot   0.42 μB/cell
Final energy   -37.33 eV/f.u.

a b c (Å): 3.072 3.072 9.340
angles (deg): 90.00 90.00 90.00
Sites, in units of the cell vectors:
Mg1 0.000 0.000 0.163
Mg2 0.000 0.000 0.837
V1 0.000 0.000 0.500
Rh1 0.500 0.500 0.000
Rh2 0.500 0.500 0.347
Rh3 0.500 0.500 0.653

---

16.
Entry from the Alexandria database: KNb6S8 after structural relaxation (PBE).

M_tot   0.00 μB/cell
Energy above the most stable polymorph in this dataset   0.151 eV/atom
Energy relative to the elements, uncorrected   -995.1 meV per atom
Final energy   -109.46 eV/f.u.

a b c (Å): 6.807 6.807 6.807
angles (deg): 88.13 88.13 88.13
Sites, in units of the cell vectors:
K1 0.000 0.000 0.000
Nb1 0.209 0.559 0.404
Nb2 0.404 0.209 0.559
Nb3 0.441 0.596 0.791
Nb4 0.559 0.404 0.209
Nb5 0.596 0.791 0.441
Nb6 0.791 0.441 0.596
S1 0.129 0.408 0.738
S2 0.241 0.241 0.241
S3 0.262 0.871 0.592
S4 0.408 0.738 0.129
S5 0.592 0.262 0.871
S6 0.738 0.129 0.408
S7 0.759 0.759 0.759
S8 0.871 0.592 0.262

---

17.
Entry from the Alexandria database: Ac2La3Ge4 after structural relaxation (PBE).

M_tot   0.00 μB/cell
Final energy   -48.57 eV/f.u.

a b c (Å): 8.216 8.374 8.200
angles (deg): 90.00 106.66 90.00
Sites, in units of the cell vectors:
Ac1 0.201 0.178 0.083
Ac2 0.201 0.322 0.583
Ac3 0.799 0.678 0.417
Ac4 0.799 0.822 0.917
La1 0.244 0.675 0.262
La2 0.244 0.825 0.762
La3 0.500 0.000 0.500
La4 0.500 0.500 0.000
La5 0.756 0.175 0.238
La6 0.756 0.325 0.738
Ge1 0.082 0.533 0.882
Ge2 0.082 0.967 0.382
Ge3 0.492 0.131 0.866
Ge4 0.492 0.369 0.366
Ge5 0.508 0.631 0.634
Ge6 0.508 0.869 0.134
Ge7 0.918 0.033 0.618
Ge8 0.918 0.467 0.118

---

18.
Entry from the Alexandria database: AcDy7Ho4 after structural relaxation (PBE).

M_tot   0.00 μB/cell
Energy above the most stable polymorph in this dataset   0.300 eV/atom
Final energy   -50.88 eV/f.u.

a b c (Å): 6.813 6.813 12.518
angles (deg): 115.60 115.60 52.46
Sites, in units of the cell vectors:
Ac1 0.000 0.000 0.000
Dy1 0.052 0.052 0.346
Dy2 0.216 0.216 0.919
Dy3 0.365 0.365 0.491
Dy4 0.500 0.500 0.000
Dy5 0.635 0.635 0.509
Dy6 0.784 0.784 0.081
Dy7 0.948 0.948 0.654
Ho1 0.260 0.260 0.685
Ho2 0.375 0.375 0.225
Ho3 0.625 0.625 0.775
Ho4 0.740 0.740 0.315

---

19.
Entry from the Alexandria database: BaY after structural relaxation (PBE).

M_tot   0.35 μB/cell
Energy above the most stable polymorph in this dataset   0.142 eV/atom
Final energy   -7.78 eV/f.u.

a b c (Å): 9.632 9.632 9.632
angles (deg): 156.26 56.53 129.50
Sites, in units of the cell vectors:
Ba1 0.000 0.000 0.000
Ba2 0.566 0.261 0.306
Ba3 0.955 0.261 0.694
Y1 0.206 0.811 0.395
Y2 0.416 0.811 0.605
Y3 0.568 0.568 0.000

---

20.
Entry from the Alexandria database: La5Ir2 after structural relaxation (PBE).

M_tot   0.00 μB/cell
Final energy   -46.28 eV/f.u.

a b c (Å): 9.205 9.205 7.416
angles (deg): 96.13 96.13 43.06
Sites, in units of the cell vectors:
La1 0.073 0.927 0.750
La2 0.145 0.286 0.320
La3 0.286 0.145 0.820
La4 0.304 0.510 0.083
La5 0.490 0.696 0.417
La6 0.510 0.304 0.583
La7 0.696 0.490 0.917
La8 0.714 0.855 0.180
La9 0.855 0.714 0.680
La10 0.927 0.073 0.250
Ir1 0.092 0.684 0.418
Ir2 0.316 0.908 0.082
Ir3 0.684 0.092 0.918
Ir4 0.908 0.316 0.582

---

21.
Entry from the Alexandria database: UCuPd2 after structural relaxation (PBE).

M_tot   1.19 μB/cell
Final energy   -26.57 eV/f.u.

a b c (Å): 3.220 3.220 6.537
angles (deg): 90.00 90.00 90.00
Sites, in units of the cell vectors:
U1 0.000 0.000 0.000
Cu1 0.000 0.000 0.500
Pd1 0.500 0.500 0.283
Pd2 0.500 0.500 0.717

---

22.
Entry from the Alexandria database: Tb2NdThS4 after structural relaxation (PBE).

M_tot   0.00 μB/cell
Energy relative to the elements, uncorrected   -1964.3 meV per atom
Final energy   -53.67 eV/f.u.

a b c (Å): 6.887 3.955 6.980
angles (deg): 90.00 109.08 90.00
Sites, in units of the cell vectors:
Tb1 0.000 0.000 0.000
Tb2 0.500 0.500 0.000
Nd1 0.000 0.500 0.500
Th1 0.500 0.000 0.500
S1 0.246 0.500 0.238
S2 0.255 0.000 0.763
S3 0.745 0.000 0.237
S4 0.754 0.500 0.762

---

23.
Entry from the Alexandria database: Ba2SiMo after structural relaxation (PBE).

M_tot   1.79 μB/cell
Energy relative to the elements, uncorrected   299.6 meV per atom
Final energy   -18.90 eV/f.u.

a b c (Å): 4.464 6.635 6.635
angles (deg): 44.23 90.00 90.00
Sites, in units of the cell vectors:
Ba1 0.000 0.000 0.000
Ba2 0.500 0.284 0.284
Si1 0.500 0.595 0.595
Mo1 0.000 0.679 0.679

---

24.
Entry from the Alexandria database: BeInAg2 after structural relaxation (PBE).

M_tot   0.00 μB/cell
Energy above the most stable polymorph in this dataset   0.089 eV/atom
Final energy   -11.26 eV/f.u.

a b c (Å): 3.082 4.125 5.549
angles (deg): 90.00 101.42 90.00
Sites, in units of the cell vectors:
Be1 0.000 0.000 0.000
In1 0.000 0.000 0.500
Ag1 0.345 0.500 0.219
Ag2 0.655 0.500 0.781

---

| no. | ρ (g/cm³) |
| --- | --- |
| 1 | 8.29 |
| 2 | 2.02 |
| 3 | 2.52 |
| 4 | 14.99 |
| 5 | 7.97 |
| 6 | 12.00 |
| 7 | 4.75 |
| 8 | 2.33 |
| 9 | 2.59 |
| 10 | 6.36 |
| 11 | 5.25 |
| 12 | 6.96 |
| 13 | 7.31 |
| 14 | 8.10 |
| 15 | 7.69 |
| 16 | 4.50 |
| 17 | 7.14 |
| 18 | 8.32 |
| 19 | 4.08 |
| 20 | 8.41 |
| 21 | 12.61 |
| 22 | 7.60 |
| 23 | 4.83 |
| 24 | 8.15 |